Entry P
# Tb4Nd7Th | the Alexandria database | GGA-PBE | relaxed
# Density of states at the Fermi level, states/eV/f.u.: 16.1
# Magnetization, μB/atom: 0.00
data_Tb4Nd7Th
_chemical_formula_sum 'Tb4 Nd7 Th1'
_cell_length_a 6.3454
_cell_length_b 7.3243
_cell_length_c 9.0377
_cell_angle_alpha 90.10
_cell_angle_beta 103.69
_cell_angle_gamma 90.02
_symmetry_space_group_name_H-M 'P -1'
_symmetry_Int_Tables_number 2
loop_
_symmetry_equiv_pos_as_xyz
'x,y,z'
'-x,-y,-z'
loop_
_atom_site_label
_atom_site_type_symbol
_atom_site_fract_x
_atom_site_fract_y
_atom_site_fract_z
_atom_site_occupancy
Tb1 Tb 0.2199 0.0001 0.1634 1
Tb2 Tb 0.2745 0.7503 0.8298 1
Nd1 Nd 0.0000 0.0000 0.5000 1
Nd2 Nd 0.2191 0.4999 0.1711 1
Nd3 Nd 0.2765 0.2513 0.8315 1
Nd4 Nd 0.4995 0.2532 0.4984 1
Th1 Th 0.0000 0.5000 0.5000 1

Entry Q
# Tb4Nd7Th | the Alexandria database | GGA-PBE | relaxed
# Density of states at the Fermi level, states/eV/f.u.: 19.3
# Magnetization, μB/atom: 0.00
data_Tb4Nd7Th
_chemical_formula_sum 'Tb8 Nd14 Th2'
_cell_length_a 16.1558
_cell_length_b 6.1171
_cell_length_c 9.3259
_cell_angle_alpha 90.00
_cell_angle_beta 115.14
_cell_angle_gamma 90.00
_symmetry_space_group_name_H-M 'C 1 2/m 1'
_symmetry_Int_Tables_number 12
loop_
_symmetry_equiv_pos_as_xyz
'x,y,z'
'-x,-y,-z'
'-x,y,-z'
'x,-y,z'
'x+1/2,y+1/2,z'
'-x+1/2,-y+1/2,-z'
'-x+1/2,y+1/2,-z'
'x+1/2,-y+1/2,z'
loop_
_atom_site_label
_atom_site_type_symbol
_atom_site_fract_x
_atom_site_fract_y
_atom_site_fract_z
_atom_site_occupancy
Tb1 Tb 0.0710 0.0000 0.1951 1
Tb2 Tb 0.1719 0.0000 0.8819 1
Nd1 Nd 0.0000 0.0000 0.5000 1
Nd2 Nd 0.0833 0.5000 0.9395 1
Nd3 Nd 0.2060 0.5000 0.3802 1
Nd4 Nd 0.2127 0.5000 0.7349 1
Th1 Th 0.0000 0.5000 0.5000 1

Quick ranking, most stable first: entry P, entry Q.

Entry P
# Tb9NdTh2 | the Alexandria database | GGA-PBE | relaxed
# Density of states at the Fermi level, states/eV/f.u.: 20.7
# Magnetization, μB/atom: 0.00
data_Tb9NdTh2
_chemical_formula_sum 'Tb9 Nd1 Th2'
_cell_length_a 11.3921
_cell_length_b 11.3921
_cell_length_c 3.5024
_cell_angle_alpha 90.00
_cell_angle_beta 90.00
_cell_angle_gamma 120.00
_symmetry_space_group_name_H-M 'P 6/m m m'
_symmetry_Int_Tables_number 191
_symmetry_space_group_name_Hall '-P 6 2'
loop_
_atom_site_label
_atom_site_type_symbol
_atom_site_fract_x
_atom_site_fract_y
_atom_site_fract_z
_atom_site_occupancy
Tb1 Tb 0.0000 0.5000 0.0000 1
Tb2 Tb 0.1746 0.3493 0.5000 1
Nd1 Nd 0.0000 0.0000 0.0000 1
Th1 Th 0.3333 0.6667 0.0000 1

Entry Q
# Tb9NdTh2 | the Alexandria database | GGA-PBE | relaxed
# Density of states at the Fermi level, states/eV/f.u.: 15.8
# Magnetization, μB/atom: 0.00
data_Tb9NdTh2
_chemical_formula_sum 'Tb9 Nd1 Th2'
_cell_length_a 5.0493
_cell_length_b 5.0493
_cell_length_c 15.1422
_cell_angle_alpha 90.00
_cell_angle_beta 90.00
_cell_angle_gamma 90.00
_symmetry_space_group_name_H-M 'P 4/m m m'
_symmetry_Int_Tables_number 123
_symmetry_space_group_name_Hall '-P 4 2'
loop_
_atom_site_label
_atom_site_type_symbol
_atom_site_fract_x
_atom_site_fract_y
_atom_site_fract_z
_atom_site_occupancy
Tb1 Tb 0.0000 0.0000 0.0000 1
Tb2 Tb 0.0000 0.0000 0.3339 1
Tb3 Tb 0.0000 0.5000 0.1705 1
Tb4 Tb 0.0000 0.5000 0.5000 1
Nd1 Nd 0.5000 0.5000 0.0000 1
Th1 Th 0.5000 0.5000 0.3345 1

Quick ranking, most stable first: entry Q, entry P.

Entry P
# TbNdTh | the Alexandria database | GGA-PBE | relaxed
# Density of states at the Fermi level, states/eV/f.u.: 4.9
# Magnetization, μB/atom: 0.00
data_TbNdTh
_chemical_formula_sum 'Tb1 Nd1 Th1'
_cell_length_a 3.6046
_cell_length_b 3.6046
_cell_length_c 8.8453
_cell_angle_alpha 90.00
_cell_angle_beta 90.00
_cell_angle_gamma 120.00
_symmetry_space_group_name_H-M 'P 3 m 1'
_symmetry_Int_Tables_number 156
loop_
_symmetry_equiv_pos_as_xyz
'x,y,z'
'-y,x-y,z'
'-x+y,-x,z'
'-y,-x,z'
'-x+y,y,z'
'x,x-y,z'
loop_
_atom_site_label
_atom_site_type_symbol
_atom_site_fract_x
_atom_site_fract_y
_atom_site_fract_z
_atom_site_occupancy
Tb1 Tb 0.0000 0.0000 0.0000 1
Nd1 Nd 0.3333 0.6667 0.6475 1
Th1 Th 0.6667 0.3333 0.3187 1

Entry Q
# TbNdTh | the Alexandria database | GGA-PBE | relaxed
# Density of states at the Fermi level, states/eV/f.u.: 4.2
# Magnetization, μB/atom: 0.00
data_TbNdTh
_chemical_formula_sum 'Tb2 Nd2 Th2'
_cell_length_a 3.6117
_cell_length_b 3.6117
_cell_length_c 15.2895
_cell_angle_alpha 90.00
_cell_angle_beta 90.00
_cell_angle_gamma 90.00
_symmetry_space_group_name_H-M 'P 4/n m m'
_symmetry_Int_Tables_number 129
loop_
_symmetry_equiv_pos_as_xyz
'x,y,z'
'-x,-y,-z'
'-y+1/2,x,z'
'y+1/2,-x,-z'
'-x+1/2,-y+1/2,z'
'x+1/2,y+1/2,-z'
'y,-x+1/2,z'
'-y,x+1/2,-z'
'x+1/2,-y,-z'
'-x+1/2,y,z'
'-y,-x,-z'
'y,x,z'
'-x,y+1/2,-z'
'x,-y+1/2,z'
'y+1/2,x+1/2,-z'
'-y+1/2,-x+1/2,z'
loop_
_atom_site_label
_atom_site_type_symbol
_atom_site_fract_x
_atom_site_fract_y
_atom_site_fract_z
_atom_site_occupancy
Tb1 Tb 0.2500 0.2500 0.2414 1
Nd1 Nd 0.2500 0.2500 0.5861 1
Th1 Th 0.2500 0.2500 0.9207 1

Quick ranking, most stable first: entry Q, entry P.